[1]
Below is a relaxed BaAgBiO3 crystal, with properties calculated at the PBE level.

Cell lengths 3.5804, 7.7137, 8.7334 Å; angles 98.82, 90.00, 90.00 degrees
With the nearest neighbours (Å) after each atom.
Fractional coordinates of all 12 atoms:
Ba 0.2500 0.1653 0.2138  2 O 2.54
Ba 0.7500 0.8347 0.7862  2 O 2.54
Ag 0.2500 0.1464 0.5834  4 O 2.32-2.59
Ag 0.7500 0.8536 0.4166  4 O 2.32-2.59
Bi 0.2500 0.6526 0.1437  3 O 2.17-2.33
Bi 0.7500 0.3474 0.8563  3 O 2.17-2.33
O 0.7500 0.8403 0.1183  2 Bi 2.33, 1 Ag 2.59
O 0.2500 0.1597 0.8817  2 Bi 2.33, 1 Ag 2.59
O 0.2500 0.8206 0.5787  3 Ag 2.32-2.51, 2 Ba 2.54
O 0.7500 0.1794 0.4213  3 Ag 2.32-2.51, 2 Ba 2.54
O 0.7500 0.4182 0.1062  1 Bi 2.17
O 0.2500 0.5818 0.8938  1 Bi 2.17

Results
Total magnetic moment ... 0.00 μB/f.u.
Energy relative to the elements, uncorrected ... -1.291 eV per atom


[2]
Below is a relaxed Tm6GaBi2 crystal, with properties calculated at the PBE level.

Cell lengths 6.8947, 6.8947, 13.2049 Å; angles 90.00, 90.00, 90.00 degrees
With the nearest neighbours (Å) after each atom.
Fractional coordinates of all 18 atoms:
Tm 0.3042 0.3042 0.3504  1 Ga 2.75, 2 Bi 2.98-3.05
Tm 0.6958 0.6958 0.3504  1 Ga 2.75, 2 Bi 2.98-3.05
Tm 0.1958 0.8042 0.8504  1 Ga 2.75, 2 Bi 2.98-3.05
Tm 0.8042 0.1958 0.8504  1 Ga 2.75, 2 Bi 2.98-3.05
Tm 0.1958 0.8042 0.1496  1 Ga 2.75, 2 Bi 2.98-3.05
Tm 0.8042 0.1958 0.1496  1 Ga 2.75, 2 Bi 2.98-3.05
Tm 0.3042 0.3042 0.6496  1 Ga 2.75, 2 Bi 2.98-3.05
Tm 0.6958 0.6958 0.6496  1 Ga 2.75, 2 Bi 2.98-3.05
Tm 0.2836 0.2836 0.0000  1 Ga 2.77, 2 Bi 3.08
Tm 0.7164 0.7164 0.0000  1 Ga 2.77, 2 Bi 3.08
Tm 0.2164 0.7836 0.5000  1 Ga 2.77, 2 Bi 3.08
Tm 0.7836 0.2164 0.5000  1 Ga 2.77, 2 Bi 3.08
Ga 0.0000 0.0000 0.0000  6 Tm 2.75-2.77
Ga 0.5000 0.5000 0.5000  6 Tm 2.75-2.77
Bi 0.0000 0.0000 0.3296  6 Tm 2.98-3.08
Bi 0.5000 0.5000 0.8296  6 Tm 2.98-3.08
Bi 0.5000 0.5000 0.1704  6 Tm 2.98-3.08
Bi 0.0000 0.0000 0.6704  6 Tm 2.98-3.08

Results
Total magnetic moment ... 0.01 μB/f.u.
Energy of formation ... -3.7 kJ per mole of atoms


[3]
Below is a relaxed Li2Cd6Ni crystal, with properties calculated at the PBE level.

Cell lengths 4.6958, 4.7040, 8.8208 Å; angles 90.20, 90.00, 119.94 degrees
With the nearest neighbours (Å) after each atom.
Fractional coordinates of all 9 atoms:
Li 0.6669 0.3337 0.7169  8 Cd 2.70-3.02
Li 0.3331 0.6663 0.2831  8 Cd 2.70-3.02
Cd 0.3334 0.6668 0.9404  7 Cd 2.91-3.09, 1 Li 3.02
Cd 0.6666 0.3332 0.0596  7 Cd 2.91-3.09, 1 Li 3.02
Cd 0.9998 0.9996 0.1962  1 Ni 2.68, 3 Li 2.82, 3 Cd 2.97
Cd 0.6664 0.3328 0.4104  4 Li 2.70-2.94, 3 Ni 2.83
Cd 0.0002 0.0004 0.8038  1 Ni 2.68, 3 Li 2.82, 3 Cd 2.97
Cd 0.3336 0.6672 0.5896  4 Li 2.70-2.94, 3 Ni 2.83
Ni 0.0000 0.0000 0.5000  8 Cd 2.68-2.83

Results
Total magnetic moment ... 0.00 μB/f.u.
Distance to the lowest polymorph of the same formula ... 0 meV/atom
Energy of formation ... -12.4 kJ per mole of atoms


[4]
Below is a relaxed ScTl2Mo crystal, with properties calculated at the PBE level.

Cell lengths 4.2537, 4.2537, 10.8068 Å; angles 78.65, 78.65, 90.00 degrees
With the nearest neighbours (Å) after each atom.
Fractional coordinates of all 8 atoms:
Sc 0.5000 0.5000 0.0000  4 Mo 3.01, 4 Tl 3.02
Sc 0.2500 0.7500 0.5000  4 Mo 3.01, 4 Tl 3.02
Tl 0.6394 0.1250 0.2500  4 Tl 2.92-3.10, 2 Mo 2.98, 2 Sc 3.02
Tl 0.1106 0.6250 0.2500  4 Tl 2.92-3.10, 2 Mo 2.98, 2 Sc 3.02
Tl 0.3750 0.3606 0.7500  4 Tl 2.92-3.10, 2 Mo 2.98, 2 Sc 3.02
Tl 0.8750 0.8894 0.7500  4 Tl 2.92-3.10, 2 Mo 2.98, 2 Sc 3.02
Mo 0.0000 0.0000 0.0000  4 Tl 2.98, 4 Sc 3.01
Mo 0.7500 0.2500 0.5000  4 Tl 2.98, 4 Sc 3.01

Results
Total magnetic moment ... 0.00 μB/f.u.
Distance to the lowest polymorph of the same formula ... 389 meV/atom
Energy of formation ... 62.3 kJ per mole of atoms


[5]
Below is a relaxed Ag2AuBr crystal, with properties calculated at the PBE level.

Cell lengths 7.0223, 7.0223, 7.0223 Å; angles 145.98, 151.89, 44.69 degrees
With the nearest neighbours (Å) after each atom.
Fractional coordinates of all 4 atoms:
Au 0.5409 0.5409 0.0000  6 Ag 2.78-2.79
Br 0.2918 0.7918 0.5000  6 Ag 2.99-3.00
Ag 0.9810 0.9810 0.0000  4 Au 2.78, 2 Br 2.99
Ag 0.6863 0.1863 0.5000  2 Au 2.79, 4 Br 3.00

Results
Total magnetic moment ... 0.00 μB/f.u.
Distance to the lowest polymorph of the same formula ... 74 meV/atom
Energy relative to the elements, uncorrected ... 0.033 eV per atom


[6]
Below is a relaxed Pu2PaTe4 crystal, with properties calculated at the PBE level.

Cell lengths 4.2694, 7.5377, 14.9883 Å; angles 90.00, 90.00, 106.45 degrees
With the nearest neighbours (Å) after each atom.
Fractional coordinates of all 14 atoms:
Pu 0.1364 0.2729 0.4344  6 Te 3.07-3.15
Pu 0.8636 0.7271 0.9344  6 Te 3.07-3.15
Pu 0.1364 0.2729 0.0656  6 Te 3.07-3.15
Pu 0.8636 0.7271 0.5656  6 Te 3.07-3.15
Pa 0.6185 0.2370 0.7500  6 Te 3.11-3.17
Pa 0.3815 0.7630 0.2500  6 Te 3.11-3.17
Te 0.7792 0.5583 0.1283  3 Pu 3.11-3.15, 2 Pa 3.17
Te 0.7792 0.5583 0.3717  3 Pu 3.11-3.15, 2 Pa 3.17
Te 0.2208 0.4417 0.8717  3 Pu 3.11-3.15, 2 Pa 3.17
Te 0.2208 0.4417 0.6283  3 Pu 3.11-3.15, 2 Pa 3.17
Te 0.9620 0.9240 0.7500  2 Pu 3.11, 2 Pa 3.11
Te 0.0380 0.0760 0.2500  2 Pu 3.11, 2 Pa 3.11
Te 0.5000 0.0000 0.0000  4 Pu 3.07
Te 0.5000 0.0000 0.5000  4 Pu 3.07

Results
Total magnetic moment ... 12.89 μB/f.u.
Energy relative to the elements, uncorrected ... -0.905 eV per atom


[7]
Below is a relaxed AlMoAs2 crystal, with properties calculated at the PBE level.

Cell lengths 4.8672, 4.8672, 4.8672 Å; angles 137.10, 121.66, 75.08 degrees
With the nearest neighbours (Å) after each atom.
Fractional coordinates of all 4 atoms:
Mo 0.7500 0.2500 0.5000  8 As 2.74-2.97, 4 Al 2.97
As 0.0191 0.0191 0.0000  2 Al 2.52, 2 Mo 2.74
As 0.4809 0.4809 0.0000  2 Al 2.52, 2 Mo 2.74
Al 0.2500 0.7500 0.5000  4 As 2.52

Results
Total magnetic moment ... 0.00 μB/f.u.
Energy of formation ... 8.2 kJ per mole of atoms


[8]
Below is a relaxed NiAs2HBr crystal, with properties calculated at the PBE level.

Cell lengths 3.7520, 3.7520, 7.2146 Å; angles 90.00, 90.00, 90.00 degrees
With the nearest neighbours (Å) after each atom.
Fractional coordinates of all 5 atoms:
Ni 0.5000 0.5000 0.5000  4 Br 2.65
As 0.0000 0.5000 0.0000  2 H 1.88
As 0.5000 0.0000 0.0000  2 H 1.88
Br 0.0000 0.0000 0.5000  4 Ni 2.65
H 0.0000 0.0000 0.0000  4 As 1.88

Results
Total magnetic moment ... 1.31 μB/f.u.
Distance to the lowest polymorph of the same formula ... 0 meV/atom


[9]
Below is a relaxed TcHRu2Pt crystal, with properties calculated at the PBE level.

Cell lengths 3.9393, 3.9393, 3.8735 Å; angles 90.00, 90.00, 90.00 degrees
With the nearest neighbours (Å) after each atom.
Fractional coordinates of all 5 atoms:
Ru 0.0000 0.5000 0.0000  2 H 1.97
Ru 0.5000 0.0000 0.0000  2 H 1.97
Tc 0.5000 0.5000 0.5000  8 Ru 2.76, 4 Pt 2.79
Pt 0.0000 0.0000 0.5000  2 H 1.94
H 0.0000 0.0000 0.0000  2 Pt 1.94, 4 Ru 1.97

Results
Total magnetic moment ... 0.00 μB/f.u.
Distance to the lowest polymorph of the same formula ... 79 meV/atom


[10]
Below is a relaxed Na2TiPt crystal, with properties calculated at the PBE level.

Cell lengths 8.8733, 8.8733, 6.7586 Å; angles 48.97, 48.97, 90.00 degrees
With the nearest neighbours (Å) after each atom.
Fractional coordinates of all 8 atoms:
Na 0.6923 0.1250 0.2500  2 Na 2.78, 2 Pt 2.82
Na 0.0577 0.6250 0.2500  2 Na 2.78, 2 Pt 2.82
Na 0.3750 0.3077 0.7500  2 Na 2.78, 2 Pt 2.82
Na 0.8750 0.9423 0.7500  2 Na 2.78, 2 Pt 2.82
Pt 0.0000 0.0000 0.0000  2 Ti 2.51
Pt 0.7500 0.2500 0.5000  2 Ti 2.51
Ti 0.5000 0.5000 0.0000  2 Pt 2.51
Ti 0.2500 0.7500 0.5000  2 Pt 2.51

Results
Total magnetic moment ... 1.81 μB/f.u.
Distance to the lowest polymorph of the same formula ... 0 meV/atom
Energy of formation ... 39.8 kJ per mole of atoms


[11]
Below is a relaxed Li2LaGeF crystal, with properties calculated at the PBE level.

Cell lengths 4.3755, 4.3755, 5.0104 Å; angles 90.00, 90.00, 90.00 degrees
With the nearest neighbours (Å) after each atom.
Fractional coordinates of all 5 atoms:
Ge 0.5000 0.5000 0.5000  4 La 3.09, 8 Li 3.33
F 0.0000 0.0000 0.0000  4 Li 2.19
Li 0.0000 0.5000 0.0000  2 F 2.19
Li 0.5000 0.0000 0.0000  2 F 2.19
La 0.0000 0.0000 0.5000  2 F 2.51

Results
Total magnetic moment ... 0.00 μB/f.u.
Energy relative to the elements, uncorrected ... -1.376 eV per atom


[12]
Below is a relaxed NdHoCoCu crystal, with properties calculated at the PBE level.

Cell lengths 3.8482, 4.3257, 5.4760 Å; angles 90.00, 110.57, 90.00 degrees
With the nearest neighbours (Å) after each atom.
Fractional coordinates of all 4 atoms:
Nd 0.1445 0.0000 0.2890  3 Co 2.90-2.94, 4 Cu 3.01
Ho 0.8633 0.5000 0.7265  3 Cu 2.83-3.06, 4 Co 2.97
Co 0.4271 0.0000 0.8542  2 Cu 2.58
Cu 0.5651 0.5000 0.1303  2 Co 2.58, 2 Ho 2.83

Results
Total magnetic moment ... 0.00 μB/f.u.
Distance to the lowest polymorph of the same formula ... 0 meV/atom
Energy of formation ... -15.0 kJ per mole of atoms